Entry 1:
Zn3Ni (PBE-GGA, optimized geometry); energy relative to the elements = -87.4 meV per atom; density of states at the Fermi level = 0.3365 states/eV per atom; raw total energy = -10.0 eV/cell; V = 13.3 A^3/atom
1.0
2.6416 0.0000 -0.0389
0.0000 4.2094 0.0000
0.8192 0.0000 4.7875
Zn Ni
3 1
direct
0.5000 0.0000 0.5000
0.2388 0.5000 0.2380
0.7612 0.5000 0.7620
0.0000 0.0000 0.0000

Entry 2:
ZnNi4 (PBE-GGA, optimized geometry); offset from the most stable computed form = 4.30 eV/f.u.; energy relative to the elements = 771.8 meV per atom; density of states at the Fermi level = 2.4965 states/eV per atom; raw total energy = -20.5 eV/cell; V = 14.6 A^3/atom
1.0
3.3604 -1.6750 2.5856
1.3344 3.9427 -1.8594
-3.6923 0.7086 2.5784
Ni Zn
4 1
direct
0.0000 0.5000 0.0000
0.5000 0.5000 0.5000
0.5000 0.0000 0.0000
0.0000 0.0000 0.5000
0.0000 0.0000 0.0000